# La6Ga2Cu

Crystalline La6Ga2Cu at its relaxed geometry (PBE, Alexandria).

N(E_F) (states/eV/cell): 32.46
Total magnetic moment (μB per formula unit): 0.0

Lattice parameters (Å, degrees): 7.543 7.543 11.290 90.00 90.00 90.00
Atoms (fractional coordinates):
La1 0.212 0.212 0.172
La2 0.212 0.212 0.828
La3 0.239 0.239 0.500
La4 0.261 0.739 0.000
La5 0.288 0.712 0.328
La6 0.288 0.712 0.672
La7 0.712 0.288 0.328
La8 0.712 0.288 0.672
La9 0.739 0.261 0.000
La10 0.761 0.761 0.500
La11 0.788 0.788 0.172
La12 0.788 0.788 0.828
Ga1 0.000 0.000 0.367
Ga2 0.000 0.000 0.633
Ga3 0.500 0.500 0.133
Ga4 0.500 0.500 0.867
Cu1 0.000 0.000 0.000
Cu2 0.500 0.500 0.500



# La4GaCu

Crystalline La4GaCu at its relaxed geometry (PBE, Alexandria).

N(E_F) (states/eV/cell): 17.55
Energy above the lowest structure with this stoichiometry (eV/atom): 0.127
Total magnetic moment (μB per formula unit): 0.0

Lattice parameters (Å, degrees): 7.443 7.799 6.805 90.00 95.68 90.00
Atoms (fractional coordinates):
La1 0.158 0.154 0.397
La2 0.158 0.346 0.897
La3 0.338 0.663 0.332
La4 0.338 0.837 0.832
La5 0.662 0.163 0.168
La6 0.662 0.337 0.668
La7 0.842 0.654 0.103
La8 0.842 0.846 0.603
Ga1 0.000 0.000 0.000
Ga2 0.000 0.500 0.500
Cu1 0.500 0.000 0.500
Cu2 0.500 0.500 0.000



# LaGaCu2

Crystalline LaGaCu2 at its relaxed geometry (PBE, Alexandria).

N(E_F) (states/eV/cell): 8.25
Total magnetic moment (μB per formula unit): 0.0

Lattice parameters (Å, degrees): 8.334 6.542 5.621 90.00 90.00 90.00
Atoms (fractional coordinates):
La1 0.057 0.250 0.158
La2 0.443 0.750 0.658
La3 0.557 0.250 0.342
La4 0.943 0.750 0.842
Ga1 0.112 0.750 0.350
Ga2 0.388 0.250 0.850
Ga3 0.612 0.750 0.150
Ga4 0.888 0.250 0.650
Cu1 0.179 0.060 0.614
Cu2 0.179 0.440 0.614
Cu3 0.321 0.560 0.114
Cu4 0.321 0.940 0.114
Cu5 0.679 0.060 0.886
Cu6 0.679 0.440 0.886
Cu7 0.821 0.560 0.386
Cu8 0.821 0.940 0.386



# La3Ga4Cu4

Crystalline La3Ga4Cu4 at its relaxed geometry (PBE, Alexandria).

N(E_F) (states/eV/cell): 8.42
Total magnetic moment (μB per formula unit): 0.0

Lattice parameters (Å, degrees): 4.196 4.262 13.228 80.73 80.88 89.81
Atoms (fractional coordinates):
La1 0.000 0.000 0.000
La2 0.151 0.650 0.699
La3 0.849 0.350 0.301
Ga1 0.250 0.251 0.500
Ga2 0.399 0.902 0.199
Ga3 0.601 0.098 0.801
Ga4 0.750 0.749 0.500
Cu1 0.304 0.805 0.392
Cu2 0.450 0.452 0.097
Cu3 0.550 0.548 0.903
Cu4 0.696 0.195 0.608



# LaGa2Cu2

Crystalline LaGa2Cu2 at its relaxed geometry (PBE, Alexandria).

N(E_F) (states/eV/cell): 3.32
Total magnetic moment (μB per formula unit): 0.0

Lattice parameters (Å, degrees): 6.095 6.095 6.095 139.66 139.66 58.38
Atoms (fractional coordinates):
La1 0.000 0.000 0.000
Ga1 0.250 0.750 0.500
Ga2 0.750 0.250 0.500
Cu1 0.382 0.382 0.000
Cu2 0.618 0.618 0.000



# LaGaCu

Crystalline LaGaCu at its relaxed geometry (PBE, Alexandria).

N(E_F) (states/eV/cell): 5.83
Total magnetic moment (μB per formula unit): 0.0

Lattice parameters (Å, degrees): 5.978 5.978 5.978 136.93 99.43 96.07
Atoms (fractional coordinates):
La1 0.235 0.235 0.000
La2 0.765 0.765 0.000
Ga1 0.338 0.000 0.338
Ga2 0.662 0.000 0.662
Cu1 0.169 0.500 0.669
Cu2 0.831 0.500 0.331



| no. | DFT formation energy (eV/atom) |
| --- | --- |
| 1 | -0.04 |
| 2 | -0.10 |
| 3 | -0.33 |
| 4 | -0.44 |
| 5 | -0.41 |
| 6 | -0.44 |